Entry 1:
VASP calculation (PBE) on a geometry-optimized LaTi2Tc structure.

Cell: 4.7919 4.7919 9.3846 Å, 75.21 75.21 90.00°
Last column: nearest neighbours and their distance in Å.
Fractional coordinates of all 8 atoms:
Ti  0.3754  0.1250  0.2500  2 Ti 2.40, 2 Tc 2.49
Ti  0.3746  0.6250  0.2500  2 Ti 2.40, 2 Tc 2.49
Ti  0.3750  0.6246  0.7500  2 Ti 2.40, 2 Tc 2.49
Ti  0.8750  0.6254  0.7500  2 Ti 2.40, 2 Tc 2.49
Tc  0.5000  0.5000  0.0000  4 Ti 2.49
Tc  0.2500  0.7500  0.5000  4 Ti 2.49
La  0.0000  0.0000  0.0000  4 Tc 3.39, 8 Ti 3.46
La  0.7500  0.2500  0.5000  4 Tc 3.39, 8 Ti 3.46

Properties
energy relative to the lowest polymorph listed for this composition: 823 meV/atom
total magnetization: 0.00 μB per cell
ΔE_f: 68 kJ per mole of atoms
density of states at the Fermi level: 5.168 states/eV/f.u.
space-group type: No. 141



Entry 2:
VASP calculation (PBE) on a geometry-optimized Os3Br5 structure.

Cell: 7.8156 7.8156 3.0737 Å, 90.00 90.00 110.99°
Last column: nearest neighbours and their distance in Å.
Fractional coordinates of all 8 atoms:
Os  0.5000  0.5000  0.0000  4 Br 2.51, 4 Os 2.72
Os  0.6744  0.3256  0.5000  2 Os 2.72, 6 Br 2.87-3.00
Os  0.3256  0.6744  0.5000  2 Os 2.72, 6 Br 2.87-3.00
Br  0.0000  0.0000  0.0000  6 Br 2.88-3.07
Br  0.0000  0.5000  0.0000  4 Os 2.87, 2 Br 3.07
Br  0.5000  0.0000  0.0000  4 Os 2.87, 2 Br 3.07
Br  0.2752  0.2752  0.5000  2 Os 2.51
Br  0.7248  0.7248  0.5000  2 Os 2.51

Properties
energy relative to the lowest polymorph listed for this composition: 128 meV/atom
E_form (uncorrected): 1.039 eV/atom
total magnetization: 0.00 μB per cell
density of states at the Fermi level: 7.122 states/eV/f.u.
space-group type: No. 65



Entry 3:
VASP calculation (PBE) on a geometry-optimized Dy4TeSe3 structure.

Cell: 5.8283 8.3723 9.8019 Å, 90.00 90.00 90.00°
Last column: nearest neighbours and their distance in Å.
Fractional coordinates of all 16 atoms:
Dy  0.0644  0.8816  0.0000  4 Se 2.74-2.92
Dy  0.5644  0.2529  0.0000  3 Se 2.87-2.89, 2 Te 2.91
Dy  0.0644  0.3507  0.3068  4 Se 2.83-2.93, 1 Te 3.13
Dy  0.5644  0.6493  0.1932  4 Se 2.83-2.93, 1 Te 3.13
Dy  0.0644  0.7471  0.5000  3 Se 2.87-2.89, 2 Te 2.91
Dy  0.5644  0.1184  0.5000  4 Se 2.74-2.92
Dy  0.5644  0.6493  0.8068  4 Se 2.83-2.93, 1 Te 3.13
Dy  0.0644  0.3507  0.6932  4 Se 2.83-2.93, 1 Te 3.13
Te  0.0644  0.2487  0.0000  5 Dy 2.91-3.13
Te  0.5644  0.7513  0.5000  5 Dy 2.91-3.13
Se  0.5644  0.9077  0.0000  5 Dy 2.88-2.92
Se  0.0644  0.6710  0.2145  5 Dy 2.74-2.93
Se  0.5644  0.3290  0.2855  5 Dy 2.74-2.93
Se  0.0644  0.0923  0.5000  5 Dy 2.88-2.92
Se  0.5644  0.3290  0.7145  5 Dy 2.74-2.93
Se  0.0644  0.6710  0.7855  5 Dy 2.74-2.93

Properties
energy relative to the lowest polymorph listed for this composition: 219 meV/atom
E_form (uncorrected): -1.437 eV/atom
total magnetization: 0.00 μB per cell
density of states at the Fermi level: 2.907 states/eV/f.u.
space-group type: No. 59



Entry 4:
VASP calculation (PBE) on a geometry-optimized TaCrIr2 structure.

Cell: 4.4460 4.4460 4.4460 Å, 60.00 60.00 60.00°
Last column: nearest neighbours and their distance in Å.
Fractional coordinates of all 4 atoms:
Cr  0.0000  0.0000  0.0000  8 Ir 2.72
Ir  0.2500  0.2500  0.2500  4 Ta 2.72, 4 Cr 2.72
Ir  0.7500  0.7500  0.7500  4 Ta 2.72, 4 Cr 2.72
Ta  0.5000  0.5000  0.5000  8 Ir 2.72

Properties
energy relative to the lowest polymorph listed for this composition: 211 meV/atom
total magnetization: 4.66 μB per cell
ΔE_f: -22 kJ per mole of atoms
density of states at the Fermi level: 3.015 states/eV/f.u.
space-group type: No. 225



Entry 5:
VASP calculation (PBE) on a geometry-optimized DySc2Zn2Sn2 structure.

Cell: 4.6703 4.6703 8.7540 Å, 74.53 74.53 60.00°
Last column: nearest neighbours and their distance in Å.
Fractional coordinates of all 7 atoms:
Dy  0.0000  0.0000  0.0000  6 Sn 3.22, 2 Sc 3.38
Sc  0.1353  0.1353  0.5942  3 Zn 2.77
Sc  0.8647  0.8647  0.4058  3 Zn 2.77
Zn  0.5575  0.5575  0.3274  3 Sc 2.77, 3 Sn 2.87, 1 Zn 2.87
Zn  0.4425  0.4425  0.6726  3 Sc 2.77, 3 Sn 2.87, 1 Zn 2.87
Sn  0.7370  0.7370  0.7891  3 Zn 2.87, 4 Sc 3.15-3.19
Sn  0.2630  0.2630  0.2109  3 Zn 2.87, 4 Sc 3.15-3.19

Properties
total magnetization: 0.00 μB per cell
ΔE_f: -33 kJ per mole of atoms
density of states at the Fermi level: 7.205 states/eV/f.u.
space-group type: No. 166



Entry 6:
VASP calculation (PBE) on a geometry-optimized TlH3Rh structure.

Cell: 4.9080 5.6899 5.4296 Å, 89.40 72.52 54.68°
Last column: nearest neighbours and their distance in Å.
Fractional coordinates of all 10 atoms:
Tl  0.0414  0.4329  0.3596  5 H 2.62-2.73, 1 Rh 2.86
Tl  0.3848  0.7638  0.1195  5 H 2.62-2.73, 1 Rh 2.86
H  0.4488  0.9410  0.6652  2 Rh 1.76-1.79, 1 H 1.82
H  0.9786  0.6717  0.8028  2 Rh 1.76-1.79, 1 H 1.82
H  0.6601  0.1210  0.9258  2 Rh 1.73-1.81, 1 H 1.91
H  0.9776  0.2554  0.8139  2 Rh 1.76-1.79, 1 H 1.82
H  0.4478  0.5247  0.6763  2 Rh 1.76-1.79, 1 H 1.82
H  0.7663  0.0753  0.5533  2 Rh 1.73-1.81, 1 H 1.91
Rh  0.0992  0.9055  0.7073  6 H 1.73-1.81
Rh  0.3273  0.2909  0.7718  6 H 1.73-1.81

Properties
energy relative to the lowest polymorph listed for this composition: 0 meV/atom
total magnetization: 0.00 μB per cell
density of states at the Fermi level: 0.354 states/eV/f.u.
space-group type: No. 2



Entry 7:
VASP calculation (PBE) on a geometry-optimized La3TmAs4 structure.

Cell: 7.4511 7.4453 8.6127 Å, 90.00 90.00 109.51°
Last column: nearest neighbours and their distance in Å.
Fractional coordinates of all 16 atoms:
As  0.9935  0.2449  0.6311  1 Tm 2.98, 5 La 3.03-3.13
As  0.5009  0.2380  0.8815  2 Tm 2.96, 4 La 3.03-3.12
As  0.4935  0.2449  0.3689  1 Tm 2.98, 5 La 3.03-3.13
As  0.0009  0.2380  0.1185  2 Tm 2.96, 4 La 3.03-3.12
As  0.9991  0.7620  0.8815  2 Tm 2.96, 4 La 3.03-3.12
As  0.5065  0.7551  0.6311  1 Tm 2.98, 5 La 3.03-3.13
As  0.4991  0.7620  0.1185  2 Tm 2.96, 4 La 3.03-3.12
As  0.0065  0.7551  0.3689  1 Tm 2.98, 5 La 3.03-3.13
Tm  0.7500  0.0000  0.8767  6 As 2.96-2.98
Tm  0.2500  0.0000  0.1233  6 As 2.96-2.98
La  0.7500  0.0000  0.3727  6 As 3.04-3.06
La  0.2500  0.0000  0.6273  6 As 3.04-3.06
La  0.7500  0.5000  0.6276  6 As 3.03-3.13
La  0.7500  0.5000  0.1236  6 As 3.03-3.12
La  0.2500  0.5000  0.3724  6 As 3.03-3.13
La  0.2500  0.5000  0.8764  6 As 3.03-3.12

Properties
total magnetization: 0.00 μB per cell
ΔE_f: -148 kJ per mole of atoms
density of states at the Fermi level: 0.988 states/eV/f.u.
space-group type: No. 13



Entry 8:
VASP calculation (PBE) on a geometry-optimized TcNiHg2 structure.

Cell: 5.5072 5.5072 4.9806 Å, 69.20 69.20 29.37°
Last column: nearest neighbours and their distance in Å.
Fractional coordinates of all 4 atoms:
Hg  0.9825  0.9825  0.0677  3 Hg 2.79-3.07, 4 Ni 2.85-2.93, 3 Tc 2.89-2.95
Hg  0.7682  0.7682  0.6799  3 Hg 2.79-3.07, 4 Tc 2.87-2.91, 3 Ni 2.90-2.94
Ni  0.5269  0.5269  0.5414  2 Tc 2.55, 2 Ni 2.79
Tc  0.2224  0.2224  0.2110  2 Ni 2.55, 2 Tc 2.79

Properties
energy relative to the lowest polymorph listed for this composition: 164 meV/atom
total magnetization: 0.00 μB per cell
ΔE_f: 47 kJ per mole of atoms
density of states at the Fermi level: 4.906 states/eV/f.u.
space-group type: No. 8



Entry 9:
VASP calculation (PBE) on a geometry-optimized Li3Dy2ZrSe6 structure.

Cell: 6.8703 6.8703 6.9146 Å, 99.56 99.56 119.98°
Last column: nearest neighbours and their distance in Å.
Fractional coordinates of all 12 atoms:
Li  0.1664  0.8336  0.5000  6 Se 2.77-2.86
Li  0.8336  0.1664  0.5000  6 Se 2.77-2.86
Li  0.5000  0.5000  0.5000  6 Se 2.76-2.87
Dy  0.3331  0.6669  0.0000  6 Se 2.86
Dy  0.6669  0.3331  0.0000  6 Se 2.86
Zr  0.0000  0.0000  0.0000  6 Se 2.76-2.77
Se  0.9147  0.5929  0.7454  3 Li 2.76-2.86, 1 Zr 2.77, 2 Dy 2.86
Se  0.7625  0.7625  0.2524  1 Zr 2.76, 3 Li 2.77-2.87, 2 Dy 2.86
Se  0.0853  0.4071  0.2546  3 Li 2.76-2.86, 1 Zr 2.77, 2 Dy 2.86
Se  0.5929  0.9147  0.7454  3 Li 2.76-2.86, 1 Zr 2.77, 2 Dy 2.86
Se  0.2375  0.2375  0.7476  1 Zr 2.76, 3 Li 2.77-2.87, 2 Dy 2.86
Se  0.4071  0.0853  0.2546  3 Li 2.76-2.86, 1 Zr 2.77, 2 Dy 2.86

Properties
E_form (uncorrected): -1.549 eV/atom
total magnetization: 0.00 μB per cell
density of states at the Fermi level: 4.041 states/eV/f.u.
space-group type: No. 12



Entry 10:
VASP calculation (PBE) on a geometry-optimized Dy8Y4Th structure.

Cell: 7.7677 7.7677 7.7677 Å, 90.12 90.12 90.12°
Last column: nearest neighbours and their distance in Å.
Fractional coordinates of all 13 atoms:
Dy  0.2408  0.7578  0.2408  4 Y 3.25-3.41, 1 Th 3.48
Dy  0.7592  0.7592  0.2422  4 Y 3.25-3.41, 1 Th 3.48
Dy  0.7592  0.2422  0.7592  4 Y 3.25-3.41, 1 Th 3.48
Dy  0.2422  0.7592  0.7592  4 Y 3.25-3.41, 1 Th 3.48
Dy  0.7589  0.7589  0.7589  4 Y 3.24-3.41, 1 Th 3.48
Dy  0.2411  0.2411  0.2411  4 Y 3.24-3.41, 1 Th 3.48
Dy  0.7578  0.2408  0.2408  4 Y 3.25-3.41, 1 Th 3.48
Dy  0.2408  0.2408  0.7578  4 Y 3.25-3.41, 1 Th 3.48
Y  0.5000  0.0000  0.5000  8 Dy 3.40-3.41
Y  0.0000  0.5000  0.5000  8 Dy 3.40-3.41
Y  0.5000  0.5000  0.0000  8 Dy 3.40-3.41
Y  0.0000  0.0000  0.0000  8 Dy 3.24-3.25
Th  0.5000  0.5000  0.5000  8 Dy 3.48, 6 Y 3.88

Properties
total magnetization: 1.28 μB per cell
ΔE_f: 51 kJ per mole of atoms
density of states at the Fermi level: 23.365 states/eV/f.u.
space-group type: No. 166



Entry 11:
VASP calculation (PBE) on a geometry-optimized Tl8PdO4 structure.

Cell: 7.2394 7.2394 7.6789 Å, 104.20 103.40 119.61°
Last column: nearest neighbours and their distance in Å.
Fractional coordinates of all 13 atoms:
Tl  0.6972  0.0277  0.2210  3 O 2.46-2.73
Tl  0.1932  0.5238  0.2210  3 O 2.46-2.73
Tl  0.6922  0.5278  0.2200  3 O 2.57-2.66, 1 Pd 2.84
Tl  0.1985  0.0360  0.2345  3 O 2.54-2.63
Tl  0.8015  0.9640  0.7655  3 O 2.54-2.63
Tl  0.3078  0.4722  0.7800  3 O 2.57-2.66, 1 Pd 2.84
Tl  0.8068  0.4762  0.7790  3 O 2.46-2.73
Tl  0.3028  0.9723  0.7790  3 O 2.46-2.73
Pd  0.0000  0.5000  0.5000  6 Tl 2.81-2.84
O  0.2504  0.2504  0.0000  6 Tl 2.54-2.63
O  0.7496  0.7496  0.0000  6 Tl 2.54-2.63
O  0.2697  0.7624  0.0321  6 Tl 2.46-2.73
O  0.7303  0.2376  0.9679  6 Tl 2.46-2.73

Properties
E_form (uncorrected): -0.498 eV/atom
total magnetization: 0.00 μB per cell
density of states at the Fermi level: 0.882 states/eV/f.u.
space-group type: No. 12



Entry 12:
VASP calculation (PBE) on a geometry-optimized CsNa2HgBi structure.

Cell: 5.9373 5.9373 5.9636 Å, 90.00 90.00 90.00°
Last column: nearest neighbours and their distance in Å.
Fractional coordinates of all 5 atoms:
Cs  0.5000  0.5000  0.5000  4 Bi 4.20, 8 Na 4.21
Na  0.0000  0.5000  0.0000  2 Hg 2.97
Na  0.5000  0.0000  0.0000  2 Hg 2.97
Bi  0.0000  0.0000  0.5000  2 Hg 2.98
Hg  0.0000  0.0000  0.0000  4 Na 2.97, 2 Bi 2.98

Properties
energy relative to the lowest polymorph listed for this composition: 45 meV/atom
total magnetization: 0.00 μB per cell
ΔE_f: -13 kJ per mole of atoms
density of states at the Fermi level: 1.988 states/eV/f.u.
space-group type: No. 123



Respective raw total energy values: -7.067; -4.218; -5.437; -10.026; -4.313; -3.923; -6.267; -3.696; -5.249; -4.860; -3.879; -1.675 eV per atom.